Here is a relaxed structure of Ce2ZnNi3As4 from the Alexandria database. Energies are from GGA-PBE.

* spin magnetization: 0.1271 μB/atom
* symmetry: P-4m2
* uncorrected energy: -5.654 eV per atom
* ΔE_f: -0.75 eV per atom

abc: 4.277 4.277 9.493
angles: 90.00 90.00 90.00
Last column: magnetic moment on the atom in μB.
Sites, in units of the cell vectors:
Ce1 0.500 0.000 0.243  0.57
Ce2 0.000 0.500 0.757  0.57
As1 0.000 0.500 0.359  -0.01
As2 0.500 0.000 0.641  -0.01
As3 0.500 0.500 0.000  0.00
As4 0.000 0.000 0.000  0.01
Zn1 0.500 0.500 0.500  0.01
Ni1 0.000 0.000 0.500  -0.08
Ni2 0.500 0.000 0.888  0.04
Ni3 0.000 0.500 0.112  0.04